{"formula": "NaHf3Cu", "functional": "GGA-PBE", "state": "optimized geometry", "lattice_angstrom": [[-1.688, 4.591, -0.195], [-3.930, -1.335, 2.595], [2.381, 1.051, 4.146]], "species": ["Hf", "Hf", "Hf", "Cu", "Na"], "frac_coords": [[0.000, 0.000, 0.500], [0.000, 0.500, 0.000], [0.500, 0.000, 0.000], [0.500, 0.500, 0.500], [0.000, 0.000, 0.000]], "sg": "Pm-3m, No. 221", "de_polymorph_kj_per_mol_fu": 500, "dos_at_fermi_per_ev_cell": 4.21, "ef_ev_per_fu": 9.1}